Here is BaCaIn2Hg2 after structural relaxation from Alexandria. Energies are from GGA-PBE.

Lattice parameters (Å, degrees): 5.0507 5.0507 8.2003 90.00 90.00 120.00
Space group P-3m1 (No. 164)
Unique sites:
Ba: 0.0000 0.0000 0.0000
Ca: 0.0000 0.0000 0.5000
In: 0.3333 0.6667 0.2925
Hg: 0.3333 0.6667 0.7022

Results
Calculated total energy (eV per formula unit): -12.9
Total magnetization (μB/cell): 0.0
Formation energy (eV per atom): -0.47
Density of states at the Fermi level (states/eV per cell): 3.4